Record 1
{"formula": "K2MgMn", "functional": "PBE-GGA", "state": "relaxed", "mass_density_g_cm3": 1.7, "energy_ev_per_atom": -2.64, "ef_ev_per_atom": 0.600, "m_tot_mub_per_fu": 4.2, "lattice_angstrom": [[7.4109, 0.2082, 0.2014], [3.4963, 6.5376, -0.2014], [-4.5728, -4.7970, 3.3291]], "species": ["Mn", "Mg", "K", "K"], "fractional_positions": [[0.2882, 0.7882, 0.5000], [0.4533, 0.4533, 0.0000], [0.0269, 0.0269, 0.0000], [0.7316, 0.2316, 0.5000]]}

=====

Record 2
{"formula": "KMg3Mn", "functional": "PBE-GGA", "state": "relaxed", "mass_density_g_cm3": 0.9, "e_above_lowest_polymorph_mev_per_atom": 987, "energy_ev_per_atom": -1.57, "ef_ev_per_atom": 1.436, "m_tot_mub_per_fu": 4.5, "lattice_angstrom": [[6.7749, 0.0000, 0.0000], [0.0000, 6.7749, 0.0000], [0.0000, 0.0000, 6.7749]], "species": ["Mg", "Mg", "Mg", "K", "Mn"], "fractional_positions": [[0.0000, 0.5000, 0.0000], [0.0000, 0.0000, 0.5000], [0.5000, 0.0000, 0.0000], [0.0000, 0.0000, 0.0000], [0.5000, 0.5000, 0.5000]]}

=====

Record 3
{"formula": "KMg3Mn", "functional": "PBE-GGA", "state": "relaxed", "mass_density_g_cm3": 1.8, "e_above_lowest_polymorph_mev_per_atom": 0, "energy_ev_per_atom": -2.56, "ef_ev_per_atom": 0.448, "m_tot_mub_per_fu": 3.6, "lattice_angstrom": [[-2.1734, 4.0059, -2.7956], [-4.4615, -2.8740, -0.6497], [-1.9895, 2.0687, 4.5110]], "species": ["Mg", "Mg", "Mg", "K", "Mn"], "fractional_positions": [[0.5000, 0.0000, 0.0000], [0.0000, 0.5000, 0.0000], [0.0000, 0.0000, 0.5000], [0.5000, 0.5000, 0.5000], [0.0000, 0.0000, 0.0000]]}